A) DFT (GGA-PBE) results for a relaxed structure of AlSbCI2.

Cell: 5.508 5.508 5.451 Å, 90.00 90.00 90.00°
Atoms (fractional coordinates):
Al 0.000 0.000 0.000
Sb 0.000 0.000 0.500
C 0.500 0.500 0.500
I 0.000 0.500 0.000
I 0.500 0.000 0.000

---

B) DFT (GGA-PBE) results for a relaxed structure of AlSbCI2.

Cell: 5.179 5.179 4.758 Å, 90.00 90.00 90.00°
Atoms (fractional coordinates):
Al 0.000 0.000 0.000
Sb 0.500 0.500 0.000
C 0.500 0.500 0.500
I 0.000 0.500 0.500
I 0.500 0.000 0.500

---

Tell me which of them is the least stable. Sure, it is A).

---

A) DFT (GGA-PBE) results for a relaxed structure of AlSb2CI.

Cell: 5.338 5.338 5.418 Å, 90.00 90.00 90.00°
Atoms (fractional coordinates):
Al 0.000 0.000 0.000
Sb 0.000 0.500 0.000
Sb 0.500 0.000 0.000
C 0.500 0.500 0.500
I 0.000 0.000 0.500

---

B) DFT (GGA-PBE) results for a relaxed structure of AlSb2CI.

Cell: 4.794 4.794 5.038 Å, 90.00 90.00 90.00°
Atoms (fractional coordinates):
Al 0.000 0.000 0.000
Sb 0.000 0.500 0.500
Sb 0.500 0.000 0.500
C 0.500 0.500 0.500
I 0.500 0.500 0.000

---

Tell me which of them is the least stable. Sure, it is A).

---

A) DFT (GGA-PBE) results for a relaxed structure of AlTe2CI.

Cell: 4.857 4.857 5.037 Å, 90.00 90.00 90.00°
Atoms (fractional coordinates):
Al 0.000 0.000 0.000
Te 0.000 0.500 0.500
Te 0.500 0.000 0.500
C 0.500 0.500 0.500
I 0.500 0.500 0.000

---

B) DFT (GGA-PBE) results for a relaxed structure of AlTe2CI.

Cell: 5.387 5.387 5.420 Å, 90.00 90.00 90.00°
Atoms (fractional coordinates):
Al 0.000 0.000 0.000
Te 0.000 0.500 0.000
Te 0.500 0.000 0.000
C 0.500 0.500 0.500
I 0.000 0.000 0.500

---

Tell me which of them is the least stable. Sure, it is B).

---

A) DFT (GGA-PBE) results for a relaxed structure of Al2InC2.

Cell: 7.265 7.265 3.141 Å, 90.00 90.00 90.00°
Atoms (fractional coordinates):
Al 0.146 0.354 0.000
Al 0.354 0.854 0.000
Al 0.646 0.146 0.000
Al 0.854 0.646 0.000
In 0.000 0.000 0.000
In 0.500 0.500 0.000
C 0.065 0.565 0.500
C 0.435 0.065 0.500
C 0.565 0.935 0.500
C 0.935 0.435 0.500

---

B) DFT (GGA-PBE) results for a relaxed structure of Al2InC2.

Cell: 4.037 4.037 11.216 Å, 90.00 90.00 90.00°
Atoms (fractional coordinates):
Al 0.000 0.000 0.234
Al 0.000 0.000 0.766
Al 0.500 0.500 0.266
Al 0.500 0.500 0.734
In 0.000 0.000 0.500
In 0.500 0.500 0.000
C 0.000 0.500 0.250
C 0.000 0.500 0.750
C 0.500 0.000 0.250
C 0.500 0.000 0.750

---

Tell me which of them is the least stable. Sure, it is A).

---

A) DFT (GGA-PBE) results for a relaxed structure of AlIrC.

Cell: 4.137 9.035 4.042 Å, 90.00 93.95 90.00°
Atoms (fractional coordinates):
Al 0.000 0.000 0.000
Al 0.000 0.491 0.500
Al 0.500 0.500 0.000
Al 0.500 0.991 0.500
Ir 0.000 0.292 0.000
Ir 0.000 0.825 0.500
Ir 0.500 0.325 0.500
Ir 0.500 0.792 0.000
C 0.105 0.656 0.869
C 0.395 0.156 0.131
C 0.605 0.156 0.869
C 0.895 0.656 0.131

---

B) DFT (GGA-PBE) results for a relaxed structure of AlIrC.

Cell: 4.434 4.588 4.770 Å, 113.90 93.83 105.89°
Atoms (fractional coordinates):
Al 0.000 0.000 0.000
Al 0.179 0.372 0.663
Ir 0.191 0.655 0.237
Ir 0.617 0.289 0.327
C 0.653 0.910 0.393
C 0.866 0.812 0.533

---

Tell me which of them is the least stable. Sure, it is A).

---

A) DFT (GGA-PBE) results for a relaxed structure of AlIr2C.

Cell: 5.842 5.842 5.842 Å, 90.00 90.00 90.00°
Atoms (fractional coordinates):
Al 0.000 0.000 0.000
Al 0.000 0.500 0.500
Al 0.500 0.000 0.500
Al 0.500 0.500 0.000
Ir 0.250 0.250 0.250
Ir 0.250 0.250 0.750
Ir 0.250 0.750 0.250
Ir 0.250 0.750 0.750
Ir 0.750 0.250 0.250
Ir 0.750 0.250 0.750
Ir 0.750 0.750 0.250
Ir 0.750 0.750 0.750
C 0.000 0.000 0.500
C 0.000 0.500 0.000
C 0.500 0.000 0.000
C 0.500 0.500 0.500

---

B) DFT (GGA-PBE) results for a relaxed structure of AlIr2C.

Cell: 5.302 5.302 9.116 Å, 90.00 90.00 90.00°
Atoms (fractional coordinates):
Al 0.000 0.000 0.000
Al 0.000 0.500 0.250
Al 0.500 0.000 0.750
Al 0.500 0.500 0.500
Ir 0.168 0.250 0.625
Ir 0.250 0.668 0.875
Ir 0.250 0.832 0.375
Ir 0.332 0.250 0.125
Ir 0.668 0.750 0.125
Ir 0.750 0.168 0.375
Ir 0.750 0.332 0.875
Ir 0.832 0.750 0.625
C 0.000 0.000 0.500
C 0.000 0.500 0.750
C 0.500 0.000 0.250
C 0.500 0.500 0.000

---

Tell me which of them is the least stable. Sure, it is A).

---

A) DFT (GGA-PBE) results for a relaxed structure of Al3IrC.

Cell: 4.724 4.724 4.724 Å, 90.00 90.00 90.00°
Atoms (fractional coordinates):
Al 0.000 0.000 0.500
Al 0.000 0.500 0.000
Al 0.500 0.000 0.000
Ir 0.000 0.000 0.000
C 0.500 0.500 0.500

---

B) DFT (GGA-PBE) results for a relaxed structure of Al3IrC.

Cell: 4.001 4.001 4.001 Å, 90.00 90.00 90.00°
Atoms (fractional coordinates):
Al 0.000 0.000 0.500
Al 0.000 0.500 0.000
Al 0.500 0.000 0.000
Ir 0.500 0.500 0.500
C 0.000 0.000 0.000

---

Tell me which of them is the least stable. Sure, it is A).